Er2HfNbN4: optimized geometry, PBE.

## Properties
Formation energy without anion corrections   -1611 meV/atom
Raw total energy   -0.3461 Ha/atom
DOS(E_F)   2.318 states/eV/f.u.

The structure in POSCAR format:
```
Er2HfNbN4
1.0
5.673 0.000 0.000
0.000 3.260 0.000
-1.888 0.000 5.404
Er Hf Nb N
2 1 1 4
Direct
0.000 0.000 0.000
0.500 0.500 0.000
0.000 0.500 0.500
0.500 0.000 0.500
0.240 0.000 0.732
0.254 0.500 0.267
0.746 0.500 0.733
0.760 0.000 0.268
```

Nd2ErHfN4: optimized geometry, PBE.

## Properties
Formation energy without anion corrections   -1586 meV/atom
Raw total energy   -0.3217 Ha/atom
DOS(E_F)   1.180 states/eV/f.u.

The structure in POSCAR format:
```
Nd2ErHfN4
1.0
5.977 0.000 0.000
0.000 3.444 0.000
-1.971 0.000 5.733
Nd Er Hf N
2 1 1 4
Direct
0.000 0.000 0.000
0.500 0.500 0.000
0.000 0.500 0.500
0.500 0.000 0.500
0.255 0.000 0.723
0.272 0.500 0.282
0.728 0.500 0.718
0.745 0.000 0.277
```

ErHfPa2N6: optimized geometry, PBE.

## Properties
Formation energy without anion corrections   -1480 meV/atom
Raw total energy   -0.3611 Ha/atom
DOS(E_F)   8.469 states/eV/f.u.

The structure in POSCAR format:
```
ErHfPa2N6
1.0
2.910 1.680 4.952
-2.910 1.680 4.952
0.000 -3.360 4.952
Er Hf Pa N
1 1 2 6
Direct
0.000 0.000 0.000
0.492 0.492 0.492
0.275 0.275 0.275
0.778 0.778 0.778
0.100 0.660 0.397
0.188 0.590 0.867
0.397 0.100 0.660
0.590 0.867 0.188
0.660 0.397 0.100
0.867 0.188 0.590
```

ErHfPa2N4: optimized geometry, PBE.

## Properties
Formation energy without anion corrections   -1679 meV/atom
Raw total energy   -0.3686 Ha/atom
DOS(E_F)   4.560 states/eV/f.u.

The structure in POSCAR format:
```
ErHfPa2N4
1.0
5.831 0.000 0.000
0.000 3.363 0.000
-1.936 0.000 5.675
Er Hf Pa N
1 1 2 4
Direct
0.000 0.000 0.000
0.500 0.500 0.000
0.000 0.500 0.500
0.500 0.000 0.500
0.259 0.500 0.236
0.269 0.000 0.772
0.731 0.000 0.228
0.741 0.500 0.764
```